[1]
A geometry-optimized Cs3DySc2S6 structure, computed with GGA-PBE.

Properties
Total magnetization   0.00 μB/f.u.
Fermi-level density of states   0.00 states/eV/f.u.
Energy relative to the elements, uncorrected   -1725 meV/atom
Calculated total energy   -65.29 eV/cell

Unit cell a=6.8774 b=6.8774 c=8.3211 alpha=97.92 beta=97.92 gamma=119.99
Fractional coordinates of all 12 atoms:
S 0.0587 0.4043 0.1762
S 0.5957 0.9413 0.8238
S 0.9413 0.5957 0.8238
S 0.2870 0.2870 0.8246
S 0.7130 0.7130 0.1754
S 0.4043 0.0587 0.1762
Sc 0.3333 0.6667 0.0000
Sc 0.6667 0.3333 0.0000
Cs 0.5000 0.5000 0.5000
Cs 0.8350 0.1650 0.5000
Cs 0.1650 0.8350 0.5000
Dy 0.0000 0.0000 0.0000

[2]
A geometry-optimized CsDyScS3 structure, computed with GGA-PBE.

Properties
Total magnetization   0.00 μB/f.u.
Fermi-level density of states   3.23 states/eV/f.u.
Energy relative to the elements, uncorrected   -1714 meV/atom
Calculated total energy   -68.91 eV/cell

Unit cell a=4.2580 b=9.2829 c=10.2465 alpha=111.42 beta=90.00 gamma=90.00
Fractional coordinates of all 12 atoms:
Sc 0.7500 0.9114 0.3883
Sc 0.2500 0.0886 0.6117
S 0.7500 0.4784 0.1479
S 0.7500 0.1942 0.5610
S 0.7500 0.8675 0.1377
S 0.2500 0.5216 0.8521
S 0.2500 0.8058 0.4390
S 0.2500 0.1325 0.8623
Dy 0.7500 0.3376 0.8681
Dy 0.2500 0.6624 0.1319
Cs 0.7500 0.7790 0.7685
Cs 0.2500 0.2210 0.2315

[3]
A geometry-optimized CsDySeS structure, computed with GGA-PBE.

Properties
Total magnetization   0.00 μB/f.u.
Fermi-level density of states   0.00 states/eV/f.u.
Energy relative to the elements, uncorrected   -1758 meV/atom
Calculated total energy   -20.10 eV/cell

Unit cell a=4.1709 b=4.1710 c=8.6517 alpha=90.01 beta=103.95 gamma=120.00
Fractional coordinates of all 4 atoms:
Cs 0.9692 0.3827 0.3668
Se 0.0941 0.9450 0.0544
S 0.5170 0.1564 0.6888
Dy 0.2976 0.5467 0.8596

[4]
A geometry-optimized Cs2DySiS4 structure, computed with GGA-PBE.

Properties
Total magnetization   0.00 μB/f.u.
Fermi-level density of states   2.59 states/eV/f.u.
Energy relative to the elements, uncorrected   -1166 meV/atom
Calculated total energy   -75.14 eV/cell

Unit cell a=6.5648 b=7.9323 c=13.3667 alpha=84.17 beta=75.78 gamma=65.56
Fractional coordinates of all 16 atoms:
S 0.3378 0.8263 0.0925
S 0.8358 0.8263 0.9075
S 0.4122 0.6737 0.4075
S 0.2566 0.1737 0.9075
S 0.5697 0.1737 0.0925
S 0.9142 0.6737 0.5925
S 0.4934 0.3263 0.5925
S 0.1803 0.3263 0.4075
Cs 0.1787 0.0000 0.6425
Cs 0.5713 0.5000 0.8575
Cs 0.9287 0.5000 0.1425
Cs 0.8213 0.0000 0.3575
Dy 0.7500 0.5000 0.5000
Dy 0.0000 0.0000 0.0000
Si 0.2500 0.5000 0.5000
Si 0.5000 0.0000 0.0000

[5]
A geometry-optimized Cs3Sm2DyS6 structure, computed with GGA-PBE.

Properties
Total magnetization   0.00 μB/f.u.
Fermi-level density of states   0.00 states/eV/f.u.
Energy relative to the elements, uncorrected   -1824 meV/atom
Calculated total energy   -63.25 eV/cell

Unit cell a=7.2179 b=7.2179 c=8.4324 alpha=98.21 beta=98.21 gamma=120.00
Fractional coordinates of all 12 atoms:
S 0.0612 0.3892 0.1835
S 0.7333 0.7333 0.1839
S 0.9388 0.6108 0.8165
S 0.6108 0.9388 0.8165
S 0.2667 0.2667 0.8161
S 0.3892 0.0612 0.1835
Cs 0.5000 0.5000 0.5000
Cs 0.1675 0.8325 0.5000
Cs 0.8325 0.1675 0.5000
Dy 0.0000 0.0000 0.0000
Sm 0.6666 0.3334 0.0000
Sm 0.3334 0.6666 0.0000

[6]
A geometry-optimized CsDySnS3 structure, computed with GGA-PBE.

Properties
Total magnetization   0.00 μB/f.u.
Energy relative to the elements, uncorrected   -1290 meV/atom
Calculated total energy   -59.16 eV/cell

Unit cell a=4.0004 b=9.1216 c=11.4026 alpha=90.00 beta=90.00 gamma=102.67
Fractional coordinates of all 12 atoms:
Dy 0.0000 0.0000 0.0000
Dy 0.0000 0.0000 0.5000
S 0.3967 0.7933 0.5061
S 0.9897 0.9793 0.7500
S 0.6033 0.2067 0.0061
S 0.6033 0.2067 0.4939
S 0.3967 0.7933 0.9939
S 0.0103 0.0207 0.2500
Cs 0.3093 0.6186 0.2500
Cs 0.6907 0.3814 0.7500
Sn 0.3910 0.7820 0.7500
Sn 0.6090 0.2180 0.2500